Record 1
Computed, not measured: a geometry-optimized Rb2VCrBr6 structure at the PBE-GGA level of DFT.

Results
Formation energy (no corrections)   -1.085 eV per atom

CIF file:
```
data_Rb2VCrBr6
_cell_length_a 7.5423
_cell_length_b 7.5423
_cell_length_c 10.6447
_cell_angle_alpha 90.00
_cell_angle_beta 90.00
_cell_angle_gamma 90.00
_space_group_name_H-M_alt 'I 4/m m m'
_space_group_IT_number 139
_space_group_name_Hall '-I 4 2'
loop_
_atom_site_label
_atom_site_fract_x
_atom_site_fract_y
_atom_site_fract_z
Rb1 0.0000 0.5000 0.2500
V1 0.0000 0.0000 0.0000
Cr1 0.0000 0.0000 0.5000
Br1 0.0000 0.0000 0.2485
Br2 0.2476 0.2476 0.0000
```

Record 2
Computed, not measured: a geometry-optimized Ca2YPtCl structure at the PBE-GGA level of DFT.

Results
Formation energy (no corrections)   -0.446 eV per atom

CIF file:
```
data_Ca2YPtCl
_cell_length_a 5.0522
_cell_length_b 5.0522
_cell_length_c 5.2116
_cell_angle_alpha 90.00
_cell_angle_beta 90.00
_cell_angle_gamma 90.00
_space_group_name_H-M_alt 'P 4/m m m'
_space_group_IT_number 123
_space_group_name_Hall '-P 4 2'
loop_
_atom_site_label
_atom_site_fract_x
_atom_site_fract_y
_atom_site_fract_z
Ca1 0.0000 0.5000 0.0000
Y1 0.0000 0.0000 0.5000
Pt1 0.5000 0.5000 0.5000
Cl1 0.0000 0.0000 0.0000
```

Record 3
Computed, not measured: a geometry-optimized Sm12In5Sn2 structure at the PBE-GGA level of DFT.

Results
Calculated formation energy   -0.248 eV/atom

CIF file:
```
data_Sm12In5Sn2
_cell_length_a 18.4699
_cell_length_b 6.9738
_cell_length_c 9.3756
_cell_angle_alpha 90.00
_cell_angle_beta 92.19
_cell_angle_gamma 90.00
_space_group_name_H-M_alt 'C 1 2/m 1'
_space_group_IT_number 12
loop_
_space_group_symop_operation_xyz
'x,y,z'
'-x,-y,-z'
'-x,y,-z'
'x,-y,z'
'x+1/2,y+1/2,z'
'-x+1/2,-y+1/2,-z'
'-x+1/2,y+1/2,-z'
'x+1/2,-y+1/2,z'
loop_
_atom_site_label
_atom_site_fract_x
_atom_site_fract_y
_atom_site_fract_z
Sm1 0.0145 0.0000 0.3099
Sm2 0.0631 0.5000 0.2090
Sm3 0.1518 0.2524 0.5273
Sm4 0.1641 0.2509 0.9388
In1 0.0000 0.5000 0.5000
In2 0.2089 0.0000 0.2494
In3 0.2330 0.5000 0.2595
Sn1 0.0000 0.2037 0.0000
```

| no. | density (g/cm3) | Fermi-level density of states (states/eV/cell) |
| --- | --- | --- |
| 1 | 4.1 | 23.83 |
| 2 | 5.0 | 5.70 |
| 3 | 7.2 | 47.32 |